Material: CeDy7Tl4
Method: DFT, GGA-PBE
State: relaxed

Lattice parameters (Å, degrees): 5.7117 9.1621 8.0039 69.13 69.10 71.84
Closest atoms and distances in Å follow each position.
Atoms (fractional coordinates):
Dy 0.7995 0.8786 0.5224  4 Tl 3.37-3.76, 6 Dy 3.51-3.77, 1 Ce 3.75
Dy 0.2005 0.1214 0.4776  4 Tl 3.37-3.76, 6 Dy 3.51-3.77, 1 Ce 3.75
Dy 0.5000 0.0000 0.0000  2 Ce 2.86, 2 Tl 3.01
Dy 0.7452 0.3004 0.2091  4 Tl 3.00-3.16
Dy 0.0697 0.5915 0.2691  5 Tl 3.21-3.57, 3 Dy 3.38-3.53, 1 Ce 3.57
Ce 0.0000 0.0000 0.0000  2 Dy 2.86
Tl 0.3166 0.3383 0.0285  6 Dy 3.01-3.37, 1 Tl 3.26
Dy 0.2548 0.6996 0.7909  4 Tl 3.00-3.16
Tl 0.6834 0.6617 0.9715  6 Dy 3.01-3.37, 1 Tl 3.26
Tl 0.5513 0.2823 0.6151  4 Dy 3.00-3.26, 1 Tl 3.26
Dy 0.9303 0.4085 0.7309  5 Tl 3.21-3.57, 3 Dy 3.38-3.53, 1 Ce 3.57
Tl 0.4487 0.7177 0.3849  4 Dy 3.00-3.26, 1 Tl 3.26

Computed properties:
calculated volume	29.779	A^3/atom
ΔE_f	-0.011	eV/atom
DOS at the Fermi energy	1.38	states/eV/atom
density	9.74	Mg/m³